# Er3Si3Os2 PBE optimized geometry
data_Er3Si3Os2
_space_group_name_H-M_alt 'C m c m'
_space_group_IT_number 63
_space_group_name_Hall '-C 2c 2'
_cell_length_a 4.176
_cell_length_b 10.612
_cell_length_c 13.598
_cell_angle_alpha 90.00
_cell_angle_beta 90.00
_cell_angle_gamma 90.00
loop_
_atom_site_label
_atom_site_type_symbol
_atom_site_fract_x
_atom_site_fract_y
_atom_site_fract_z
_atom_site_occupancy
Er1 Er 0.000 0.075 0.116 1
Er2 Er 0.000 0.358 0.250 1
Si1 Si 0.000 0.327 0.750 1
Si2 Si 0.000 0.384 0.038 1
Os1 Os 0.000 0.213 0.582 1
# - formation energy from raw total energies (eV/atom) = -0.7974
# - calculated density (kg/m³) = 10653
# - energy above the most stable polymorph in this dataset (eV per atom) = 0.000

=====

# Er2Si9Os3 PBE optimized geometry
data_Er2Si9Os3
_space_group_name_H-M_alt 'C 1 2/c 1'
_space_group_IT_number 15
_cell_length_a 12.941
_cell_length_b 7.432
_cell_length_c 9.859
_cell_angle_alpha 90.00
_cell_angle_beta 116.19
_cell_angle_gamma 90.00
loop_
_space_group_symop_operation_xyz
'x,y,z'
'-x,-y,-z'
'-x,y,-z+1/2'
'x,-y,z+1/2'
'x+1/2,y+1/2,z'
'-x+1/2,-y+1/2,-z'
'-x+1/2,y+1/2,-z+1/2'
'x+1/2,-y+1/2,z+1/2'
loop_
_atom_site_label
_atom_site_type_symbol
_atom_site_fract_x
_atom_site_fract_y
_atom_site_fract_z
_atom_site_occupancy
Er1 Er 0.169 0.082 0.251 1
Si1 Si 0.000 0.394 0.250 1
Si2 Si 0.057 0.082 0.922 1
Si3 Si 0.096 0.323 0.750 1
Si4 Si 0.108 0.415 0.072 1
Si5 Si 0.223 0.416 0.421 1
Os1 Os 0.081 0.255 0.500 1
Os2 Os 0.250 0.250 0.000 1
# - formation energy from raw total energies (eV/atom) = -0.4219
# - calculated density (kg/m³) = 9039

=====

# Er3Si2Os PBE optimized geometry
data_Er3Si2Os
_space_group_name_H-M_alt 'R -3 c'
_space_group_IT_number 167
_space_group_name_Hall '-R 3 2"c'
_cell_length_a 8.0093
_cell_length_b 8.0093
_cell_length_c 14.6978
_cell_angle_alpha 90.00
_cell_angle_beta 90.00
_cell_angle_gamma 120.00
loop_
_atom_site_label
_atom_site_type_symbol
_atom_site_fract_x
_atom_site_fract_y
_atom_site_fract_z
_atom_site_occupancy
Er1 Er 0.0000 0.3387 0.2500 1
Si1 Si 0.0000 0.0000 0.1665 1
Os1 Os 0.0000 0.0000 0.0000 1
# - formation energy from raw total energies (eV/atom) = -0.4367
# - calculated density (kg/m³) = 9129

=====

# ErSi4Os4 PBE optimized geometry
data_ErSi4Os4
_space_group_name_H-M_alt 'P 42/n m c'
_space_group_IT_number 137
_cell_length_a 5.956
_cell_length_b 5.956
_cell_length_c 8.003
_cell_angle_alpha 90.00
_cell_angle_beta 90.00
_cell_angle_gamma 90.00
loop_
_space_group_symop_operation_xyz
'x,y,z'
'-x,-y,-z'
'-y+1/2,x,z+1/2'
'y+1/2,-x,-z+1/2'
'-x+1/2,-y+1/2,z'
'x+1/2,y+1/2,-z'
'y,-x+1/2,z+1/2'
'-y,x+1/2,-z+1/2'
'x+1/2,-y,-z'
'-x+1/2,y,z'
'-y,-x,-z+1/2'
'y,x,z+1/2'
'-x,y+1/2,-z'
'x,-y+1/2,z'
'y+1/2,x+1/2,-z+1/2'
'-y+1/2,-x+1/2,z+1/2'
loop_
_atom_site_label
_atom_site_type_symbol
_atom_site_fract_x
_atom_site_fract_y
_atom_site_fract_z
_atom_site_occupancy
Er1 Er 0.250 0.750 0.250 1
Si1 Si 0.053 0.250 0.071 1
Os1 Os 0.003 0.250 0.372 1
# - formation energy from raw total energies (eV/atom) = -0.3517
# - calculated density (kg/m³) = 12173

=====

# ErSi3Os2 PBE optimized geometry
data_ErSi3Os2
_space_group_name_H-M_alt 'C m c m'
_space_group_IT_number 63
_space_group_name_Hall '-C 2c 2'
_cell_length_a 4.150
_cell_length_b 11.666
_cell_length_c 8.268
_cell_angle_alpha 90.00
_cell_angle_beta 90.00
_cell_angle_gamma 90.00
loop_
_atom_site_label
_atom_site_type_symbol
_atom_site_fract_x
_atom_site_fract_y
_atom_site_fract_z
_atom_site_occupancy
Er1 Er 0.000 0.189 0.250 1
Si1 Si 0.000 0.131 0.750 1
Si2 Si 0.000 0.383 0.525 1
Os1 Os 0.000 0.000 0.000 1
Os2 Os 0.000 0.467 0.250 1
# - formation energy from raw total energies (eV/atom) = -0.4722
# - calculated density (kg/m³) = 10487

=====

# ErSi2Os2 PBE optimized geometry
data_ErSi2Os2
_space_group_name_H-M_alt 'P 4/m m m'
_space_group_IT_number 123
_space_group_name_Hall '-P 4 2'
_cell_length_a 4.077
_cell_length_b 4.077
_cell_length_c 4.986
_cell_angle_alpha 90.00
_cell_angle_beta 90.00
_cell_angle_gamma 90.00
loop_
_atom_site_label
_atom_site_type_symbol
_atom_site_fract_x
_atom_site_fract_y
_atom_site_fract_z
_atom_site_occupancy
Er1 Er 0.000 0.000 0.000 1
Si1 Si 0.500 0.500 0.234 1
Os1 Os 0.000 0.500 0.500 1
# - formation energy from raw total energies (eV/atom) = -0.5350
# - calculated density (kg/m³) = 12100
# - energy above the most stable polymorph in this dataset (eV per atom) = 0.186

=====

# Er3Si4Os2 PBE optimized geometry
data_Er3Si4Os2
_space_group_name_H-M_alt 'C 1 2/m 1'
_space_group_IT_number 12
_cell_length_a 10.536
_cell_length_b 4.194
_cell_length_c 7.943
_cell_angle_alpha 90.00
_cell_angle_beta 108.92
_cell_angle_gamma 90.00
loop_
_space_group_symop_operation_xyz
'x,y,z'
'-x,-y,-z'
'-x,y,-z'
'x,-y,z'
'x+1/2,y+1/2,z'
'-x+1/2,-y+1/2,-z'
'-x+1/2,y+1/2,-z'
'x+1/2,-y+1/2,z'
loop_
_atom_site_label
_atom_site_type_symbol
_atom_site_fract_x
_atom_site_fract_y
_atom_site_fract_z
_atom_site_occupancy
Er1 Er 0.000 0.000 0.000 1
Er2 Er 0.117 0.500 0.699 1
Si1 Si 0.097 0.000 0.412 1
Si2 Si 0.222 0.500 0.078 1
Os1 Os 0.181 0.500 0.356 1
# - formation energy from raw total energies (eV/atom) = -0.7657
# - calculated density (kg/m³) = 9950

=====

# Er3Si3Os PBE optimized geometry
data_Er3Si3Os
_space_group_name_H-M_alt 'C 1 2/m 1'
_space_group_IT_number 12
_cell_length_a 10.513
_cell_length_b 4.199
_cell_length_c 13.447
_cell_angle_alpha 90.00
_cell_angle_beta 110.89
_cell_angle_gamma 90.00
loop_
_space_group_symop_operation_xyz
'x,y,z'
'-x,-y,-z'
'-x,y,-z'
'x,-y,z'
'x+1/2,y+1/2,z'
'-x+1/2,-y+1/2,-z'
'-x+1/2,y+1/2,-z'
'x+1/2,-y+1/2,z'
loop_
_atom_site_label
_atom_site_type_symbol
_atom_site_fract_x
_atom_site_fract_y
_atom_site_fract_z
_atom_site_occupancy
Er1 Er 0.018 0.000 0.374 1
Er2 Er 0.102 0.000 0.920 1
Er3 Er 0.244 0.000 0.229 1
Si1 Si 0.050 0.500 0.238 1
Si2 Si 0.113 0.500 0.074 1
Si3 Si 0.134 0.500 0.542 1
Os1 Os 0.248 0.500 0.413 1
# - formation energy from raw total energies (eV/atom) = -0.8147
# - calculated density (kg/m³) = 9298

=====

# Er4Si6Os7 PBE optimized geometry
data_Er4Si6Os7
_space_group_name_H-M_alt 'I m -3 m'
_space_group_IT_number 229
_space_group_name_Hall '-I 4 2 3'
_cell_length_a 8.218
_cell_length_b 8.218
_cell_length_c 8.218
_cell_angle_alpha 90.00
_cell_angle_beta 90.00
_cell_angle_gamma 90.00
loop_
_atom_site_label
_atom_site_type_symbol
_atom_site_fract_x
_atom_site_fract_y
_atom_site_fract_z
_atom_site_occupancy
Er1 Er 0.250 0.250 0.250 1
Si1 Si 0.000 0.000 0.314 1
Os1 Os 0.000 0.000 0.000 1
Os2 Os 0.000 0.250 0.500 1
# - formation energy from raw total energies (eV/atom) = -0.5787
# - calculated density (kg/m³) = 12980

=====

# Er2Si4Os3 PBE optimized geometry
data_Er2Si4Os3
_space_group_name_H-M_alt 'C m c e'
_space_group_IT_number 64
_space_group_name_Hall '-C 2ac 2'
_cell_length_a 5.733
_cell_length_b 14.631
_cell_length_c 6.982
_cell_angle_alpha 90.00
_cell_angle_beta 90.00
_cell_angle_gamma 90.00
loop_
_atom_site_label
_atom_site_type_symbol
_atom_site_fract_x
_atom_site_fract_y
_atom_site_fract_z
_atom_site_occupancy
Er1 Er 0.000 0.111 0.093 1
Si1 Si 0.000 0.178 0.478 1
Si2 Si 0.250 0.061 0.750 1
Os1 Os 0.000 0.000 0.500 1
Os2 Os 0.250 0.228 0.750 1
# - formation energy from raw total energies (eV/atom) = -0.6338
# - calculated density (kg/m³) = 11541
# - energy above the most stable polymorph in this dataset (eV per atom) = 0.000

=====

# ErSi2Os2 PBE optimized geometry
data_ErSi2Os2
_space_group_name_H-M_alt 'I 4/m m m'
_space_group_IT_number 139
_space_group_name_Hall '-I 4 2'
_cell_length_a 4.160
_cell_length_b 4.160
_cell_length_c 9.616
_cell_angle_alpha 90.00
_cell_angle_beta 90.00
_cell_angle_gamma 90.00
loop_
_atom_site_label
_atom_site_type_symbol
_atom_site_fract_x
_atom_site_fract_y
_atom_site_fract_z
_atom_site_occupancy
Er1 Er 0.000 0.000 0.000 1
Si1 Si 0.000 0.000 0.373 1
Os1 Os 0.000 0.500 0.250 1
# - formation energy from raw total energies (eV/atom) = -0.7207
# - calculated density (kg/m³) = 12051
# - energy above the most stable polymorph in this dataset (eV per atom) = 0.000

=====

# ErTaSi2Os PBE optimized geometry
data_ErTaSi2Os
_space_group_name_H-M_alt 'I -4 m 2'
_space_group_IT_number 119
_space_group_name_Hall 'I -4 -2'
_cell_length_a 4.000
_cell_length_b 4.000
_cell_length_c 10.945
_cell_angle_alpha 90.00
_cell_angle_beta 90.00
_cell_angle_gamma 90.00
loop_
_atom_site_label
_atom_site_type_symbol
_atom_site_fract_x
_atom_site_fract_y
_atom_site_fract_z
_atom_site_occupancy
Er1 Er 0.000 0.000 0.000 1
Ta1 Ta 0.000 0.500 0.250 1
Si1 Si 0.000 0.000 0.392 1
Os1 Os 0.000 0.500 0.750 1
# - formation energy from raw total energies (eV/atom) = -0.6029
# - calculated density (kg/m³) = 11278

=====

# ErSi2TcOs PBE optimized geometry
data_ErSi2TcOs
_space_group_name_H-M_alt 'I -4 m 2'
_space_group_IT_number 119
_space_group_name_Hall 'I -4 -2'
_cell_length_a 4.161
_cell_length_b 4.161
_cell_length_c 9.742
_cell_angle_alpha 90.00
_cell_angle_beta 90.00
_cell_angle_gamma 90.00
loop_
_atom_site_label
_atom_site_type_symbol
_atom_site_fract_x
_atom_site_fract_y
_atom_site_fract_z
_atom_site_occupancy
Er1 Er 0.000 0.000 0.000 1
Si1 Si 0.000 0.000 0.374 1
Tc1 Tc 0.000 0.500 0.250 1
Os1 Os 0.000 0.500 0.750 1
# - formation energy from raw total energies (eV/atom) = -0.6686
# - calculated density (kg/m³) = 10077

=====

# ErSi3TcOs PBE optimized geometry
data_ErSi3TcOs
_space_group_name_H-M_alt 'C m c m'
_space_group_IT_number 63
_space_group_name_Hall '-C 2c 2'
_cell_length_a 7.759
_cell_length_b 11.011
_cell_length_c 5.432
_cell_angle_alpha 90.00
_cell_angle_beta 90.00
_cell_angle_gamma 90.00
loop_
_atom_site_label
_atom_site_type_symbol
_atom_site_fract_x
_atom_site_fract_y
_atom_site_fract_z
_atom_site_occupancy
Er1 Er 0.000 0.232 0.250 1
Si1 Si 0.000 0.249 0.750 1
Si2 Si 0.249 0.500 0.000 1
Tc1 Tc 0.000 0.449 0.750 1
Os1 Os 0.000 0.047 0.750 1
# - formation energy from raw total energies (eV/atom) = -0.2854
# - calculated density (kg/m³) = 7726

=====

# SmEr2Os PBE optimized geometry
data_SmEr2Os
_space_group_name_H-M_alt 'C m c m'
_space_group_IT_number 63
_space_group_name_Hall '-C 2c 2'
_cell_length_a 3.960
_cell_length_b 12.044
_cell_length_c 8.986
_cell_angle_alpha 90.00
_cell_angle_beta 90.00
_cell_angle_gamma 90.00
loop_
_atom_site_label
_atom_site_type_symbol
_atom_site_fract_x
_atom_site_fract_y
_atom_site_fract_z
_atom_site_occupancy
Sm1 Sm 0.000 0.073 0.250 1
Er1 Er 0.000 0.353 0.067 1
Os1 Os 0.000 0.256 0.750 1
# - calculated density (kg/m³) = 10463
# - energy above the most stable polymorph in this dataset (eV per atom) = 0.016

=====

# SmEr2Os PBE optimized geometry
data_SmEr2Os
_space_group_name_H-M_alt 'P n m a'
_space_group_IT_number 62
_cell_length_a 7.439
_cell_length_b 9.004
_cell_length_c 6.349
_cell_angle_alpha 90.00
_cell_angle_beta 90.00
_cell_angle_gamma 90.00
loop_
_space_group_symop_operation_xyz
'x,y,z'
'-x,-y,-z'
'-x+1/2,-y,z+1/2'
'x+1/2,y,-z+1/2'
'x+1/2,-y+1/2,-z+1/2'
'-x+1/2,y+1/2,z+1/2'
'-x,y+1/2,-z'
'x,-y+1/2,z'
loop_
_atom_site_label
_atom_site_type_symbol
_atom_site_fract_x
_atom_site_fract_y
_atom_site_fract_z
_atom_site_occupancy
Sm1 Sm 0.039 0.250 0.127 1
Er1 Er 0.174 0.064 0.664 1
Os1 Os 0.117 0.750 0.452 1
# - calculated density (kg/m³) = 10545
# - energy above the most stable polymorph in this dataset (eV per atom) = 0.000

=====

# SmEr2Os PBE optimized geometry
data_SmEr2Os
_space_group_name_H-M_alt 'R -3 m'
_space_group_IT_number 166
_space_group_name_Hall '-R 3 2"'
_cell_length_a 3.4193
_cell_length_b 3.4193
_cell_length_c 32.7456
_cell_angle_alpha 90.00
_cell_angle_beta 90.00
_cell_angle_gamma 120.00
loop_
_atom_site_label
_atom_site_type_symbol
_atom_site_fract_x
_atom_site_fract_y
_atom_site_fract_z
_atom_site_occupancy
Sm1 Sm 0.0000 0.0000 0.0000 1
Er1 Er 0.0000 0.0000 0.1060 1
Os1 Os 0.0000 0.0000 0.5000 1
# - calculated density (kg/m³) = 10143
# - energy above the most stable polymorph in this dataset (eV per atom) = 0.481

=====

# SmEr2Os PBE optimized geometry
data_SmEr2Os
_space_group_name_H-M_alt 'P 4/m m m'
_space_group_IT_number 123
_space_group_name_Hall '-P 4 2'
_cell_length_a 3.394
_cell_length_b 3.394
_cell_length_c 9.173
_cell_angle_alpha 90.00
_cell_angle_beta 90.00
_cell_angle_gamma 90.00
loop_
_atom_site_label
_atom_site_type_symbol
_atom_site_fract_x
_atom_site_fract_y
_atom_site_fract_z
_atom_site_occupancy
Sm1 Sm 0.000 0.000 0.000 1
Er1 Er 0.500 0.500 0.322 1
Os1 Os 0.000 0.000 0.500 1
# - calculated density (kg/m³) = 10612
# - energy above the most stable polymorph in this dataset (eV per atom) = 0.081

=====

# Sm2Er3Os2 PBE optimized geometry
data_Sm2Er3Os2
_space_group_name_H-M_alt 'C 1 2/m 1'
_space_group_IT_number 12
_cell_length_a 11.936
_cell_length_b 3.959
_cell_length_c 8.447
_cell_angle_alpha 90.00
_cell_angle_beta 113.87
_cell_angle_gamma 90.00
loop_
_space_group_symop_operation_xyz
'x,y,z'
'-x,-y,-z'
'-x,y,-z'
'x,-y,z'
'x+1/2,y+1/2,z'
'-x+1/2,-y+1/2,-z'
'-x+1/2,y+1/2,-z'
'x+1/2,-y+1/2,z'
loop_
_atom_site_label
_atom_site_type_symbol
_atom_site_fract_x
_atom_site_fract_y
_atom_site_fract_z
_atom_site_occupancy
Sm1 Sm 0.162 0.000 0.306 1
Er1 Er 0.000 0.500 0.500 1
Er2 Er 0.126 0.500 0.928 1
Os1 Os 0.175 0.000 0.720 1
# - calculated density (kg/m³) = 10763
# - total energy (eV per atom) = -6.741

=====

# SmEr4Os2 PBE optimized geometry
data_SmEr4Os2
_space_group_name_H-M_alt 'P 1 21/m 1'
_space_group_IT_number 11
_cell_length_a 7.727
_cell_length_b 6.284
_cell_length_c 7.948
_cell_angle_alpha 90.00
_cell_angle_beta 112.32
_cell_angle_gamma 90.00
loop_
_space_group_symop_operation_xyz
'x,y,z'
'-x,-y,-z'
'-x,y+1/2,-z'
'x,-y+1/2,z'
loop_
_atom_site_label
_atom_site_type_symbol
_atom_site_fract_x
_atom_site_fract_y
_atom_site_fract_z
_atom_site_occupancy
Sm1 Sm 0.022 0.250 0.160 1
Er1 Er 0.242 0.501 0.580 1
Er2 Er 0.327 0.750 0.255 1
Er3 Er 0.382 0.250 0.019 1
Os1 Os 0.026 0.250 0.739 1
Os2 Os 0.415 0.250 0.375 1
# - calculated density (kg/m³) = 11161
# - total energy (eV per atom) = -6.688